SmAl2In: optimized geometry, PBE-GGA.

abc: 4.367 4.488 4.488
angles: 90.00 90.00 90.00
Fractional positions:
Al 0.000 0.500 0.000
In 0.500 0.000 0.000
Sm 0.500 0.500 0.500
Al 0.000 0.000 0.500

Properties
- E_form (meV per atom) = -380
- relative energy among the computed polymorphs (kJ per mole of atoms) = 0.0
- final energy (eV per cell) = -16.46
- crystal system = tetragonal

***

Sm8AlIn2: optimized geometry, PBE-GGA.

abc: 5.314 6.952 9.836
angles: 104.76 105.67 90.00
Fractional positions:
Sm 0.344 0.029 0.688
Sm 0.408 0.538 0.815
Sm 0.204 0.297 0.409
Sm 0.013 0.768 0.026
Al 0.500 0.000 0.000
Sm 0.987 0.232 0.974
Sm 0.796 0.703 0.591
Sm 0.656 0.971 0.312
In 0.819 0.266 0.638
In 0.181 0.734 0.362
Sm 0.592 0.462 0.185

Properties
- E_form (meV per atom) = -207
- final energy (eV per cell) = -49.25
- crystal system = monoclinic

***

Sm3Al8In: optimized geometry, PBE-GGA.

abc: 5.649 5.649 9.655
angles: 72.99 72.99 60.00
Fractional positions:
Al 0.939 0.939 0.688
In 0.874 0.874 0.378
Al 0.436 0.436 0.184
Sm 0.504 0.504 0.489
Sm 0.996 0.996 0.013
Al 0.436 0.943 0.184
Al 0.943 0.436 0.184
Sm 0.374 0.374 0.879
Al 0.189 0.189 0.434
Al 0.435 0.939 0.688
Al 0.939 0.435 0.688
Al 0.687 0.687 0.940

Properties
- E_form (meV per atom) = -364
- final energy (eV per cell) = -51.20
- crystal system = trigonal

***

Sm5AlIn2: optimized geometry, PBE-GGA.

abc: 8.157 8.157 9.252
angles: 116.16 116.16 90.00
Fractional positions:
In 0.374 0.874 0.000
Al 0.250 0.250 0.500
In 0.626 0.126 0.000
In 0.126 0.374 0.000
Sm 0.484 0.323 0.308
Sm 0.823 0.984 0.308
Sm 0.016 0.516 0.692
Sm 0.516 0.677 0.692
Sm 0.500 0.500 0.000
Sm 0.000 0.000 0.000
Sm 0.984 0.484 0.308
Al 0.750 0.750 0.500
In 0.874 0.626 0.000
Sm 0.677 0.177 0.692
Sm 0.323 0.823 0.308
Sm 0.177 0.016 0.692

Properties
- E_form (meV per atom) = -291
- final energy (eV per cell) = -70.29
- crystal system = tetragonal

***

Sm5Al2In: optimized geometry, PBE-GGA.

abc: 7.960 7.960 9.306
angles: 115.32 115.32 90.00
Fractional positions:
Al 0.619 0.119 0.000
Sm 0.476 0.317 0.294
Sm 0.683 0.183 0.706
Al 0.381 0.881 0.000
Sm 0.183 0.024 0.706
Sm 0.024 0.524 0.706
Al 0.119 0.381 0.000
In 0.750 0.750 0.500
Sm 0.000 0.000 0.000
Sm 0.317 0.817 0.294
Sm 0.976 0.476 0.294
Sm 0.524 0.683 0.706
In 0.250 0.250 0.500
Al 0.881 0.619 0.000
Sm 0.817 0.976 0.294
Sm 0.500 0.500 0.000

Properties
- E_form (meV per atom) = -314
- final energy (eV per cell) = -72.66
- crystal system = tetragonal

***

Sm2Al2In: optimized geometry, PBE-GGA.

abc: 7.331 7.331 9.348
angles: 90.00 90.00 90.00
Fractional positions:
Al 0.373 0.873 0.750
Sm 0.829 0.329 0.000
Sm 0.171 0.671 0.000
Sm 0.329 0.171 0.500
Al 0.627 0.127 0.750
Sm 0.329 0.171 0.000
Al 0.373 0.873 0.250
In 0.500 0.500 0.750
Sm 0.829 0.329 0.500
Al 0.873 0.627 0.250
In 0.000 0.000 0.250
Al 0.127 0.373 0.250
Sm 0.171 0.671 0.500
Sm 0.671 0.829 0.500
Al 0.127 0.373 0.750
Al 0.873 0.627 0.750
In 0.000 0.000 0.750
In 0.500 0.500 0.250
Al 0.627 0.127 0.250
Sm 0.671 0.829 0.000

Properties
- E_form (meV per atom) = -463
- final energy (eV per cell) = -87.91
- crystal system = tetragonal

***

Sm4Al2In: optimized geometry, PBE-GGA.

abc: 5.170 5.170 9.757
angles: 74.64 74.64 60.00
Fractional positions:
Sm 0.204 0.204 0.388
Al 0.904 0.904 0.287
Sm 0.381 0.381 0.857
Al 0.096 0.096 0.713
Sm 0.619 0.619 0.143
Sm 0.796 0.796 0.612
In 0.000 0.000 0.000

Properties
- E_form (meV per atom) = -123
- relative energy among the computed polymorphs (kJ per mole of atoms) = 13.3
- final energy (eV per cell) = -29.96
- crystal system = trigonal

***

SmAlIn2: optimized geometry, PBE-GGA.

abc: 4.620 4.546 4.546
angles: 90.00 90.00 90.00
Fractional positions:
In 0.000 0.000 0.500
In 0.000 0.500 0.000
Al 0.500 0.500 0.500
Sm 0.500 0.000 0.000

Properties
- E_form (meV per atom) = -400
- relative energy among the computed polymorphs (kJ per mole of atoms) = 0.0
- final energy (eV per cell) = -15.54
- crystal system = tetragonal

***

Sm2Al3In: optimized geometry, PBE-GGA.

abc: 5.950 5.950 8.881
angles: 105.11 105.11 102.82
Fractional positions:
Al 0.837 0.326 0.164
Sm 0.750 0.250 0.500
In 0.333 0.333 0.667
Sm 0.250 0.750 0.500
Al 0.326 0.837 0.164
Al 0.674 0.163 0.836
Sm 0.250 0.250 0.000
Al 0.163 0.163 0.326
Al 0.837 0.837 0.674
In 0.667 0.667 0.333
Al 0.163 0.674 0.836
Sm 0.750 0.750 0.000

Properties
- E_form (meV per atom) = -468
- relative energy among the computed polymorphs (kJ per mole of atoms) = 0.5
- final energy (eV per cell) = -52.42
- crystal system = orthorhombic

***

Sm5AlIn4: optimized geometry, PBE-GGA.

abc: 3.780 3.780 19.234
angles: 90.00 90.00 90.00
Fractional positions:
Al 0.000 0.000 0.000
In 0.000 0.000 0.602
Sm 0.500 0.500 0.295
In 0.000 0.000 0.194
In 0.000 0.000 0.398
Sm 0.500 0.500 0.705
Sm 0.500 0.500 0.907
In 0.000 0.000 0.806
Sm 0.500 0.500 0.500
Sm 0.500 0.500 0.093

Properties
- E_form (meV per atom) = -465
- final energy (eV per cell) = -42.94
- crystal system = tetragonal

***

Sm15AlIn4: optimized geometry, PBE-GGA.

abc: 4.913 4.913 24.662
angles: 90.00 90.00 90.00
Fractional positions:
Sm 0.500 0.000 0.701
Sm 0.500 0.500 0.400
Sm 0.500 0.500 0.802
Sm 0.000 0.500 0.701
Sm 0.000 0.500 0.299
Sm 0.500 0.000 0.904
Sm 0.000 0.500 0.904
Sm 0.500 0.000 0.500
Sm 0.500 0.500 0.198
In 0.000 0.000 0.399
In 0.000 0.000 0.802
Sm 0.000 0.500 0.500
Sm 0.500 0.000 0.096
Sm 0.500 0.500 0.000
Al 0.000 0.000 0.000
Sm 0.000 0.500 0.096
Sm 0.500 0.500 0.600
In 0.000 0.000 0.601
Sm 0.500 0.000 0.299
In 0.000 0.000 0.198

Properties
- E_form (meV per atom) = -251
- final energy (eV per cell) = -90.50
- crystal system = tetragonal

***

SmAl2In: optimized geometry, PBE-GGA.

abc: 4.492 4.492 8.094
angles: 73.89 73.89 60.00
Fractional positions:
In 0.000 0.000 0.000
Al 0.370 0.370 0.891
Sm 0.500 0.500 0.500
Al 0.630 0.630 0.109

Properties
- E_form (meV per atom) = 612
- relative energy among the computed polymorphs (kJ per mole of atoms) = 95.7
- final energy (eV per cell) = -12.49
- crystal system = trigonal